Entry 1:
First-principles (PBEsol) data for an optimized crystal structure of ZrMnPb2, as listed in Alexandria.

```
ZrMnPb2
1.0
1.642 0.948 9.481
-1.642 0.948 9.481
0.000 -1.896 9.481
Zr Mn Pb
1 1 2
direct
0.000 0.000 0.000
0.500 0.500 0.500
0.245 0.245 0.245
0.755 0.755 0.755
```

Output
energy above the most stable polymorph in this dataset: 0.125 eV per atom
formation enthalpy at 0 K: 0.279 eV per atom
total moment: 4.2 Bohr magnetons per cell
symmetry: R-3m, No. 166



Entry 2:
First-principles (PBEsol) data for an optimized crystal structure of TaCdTe2, as listed in Alexandria.

```
TaCdTe2
1.0
5.318 -1.728 0.000
5.318 1.728 0.000
-2.968 0.000 6.348
Ta Cd Te
1 1 2
direct
0.000 0.000 0.000
0.722 0.722 0.996
0.326 0.326 0.703
0.494 0.494 0.298
```

Output
total moment: 0.0 Bohr magnetons per cell
ΔE_f (raw): 0.089 eV/atom
symmetry: Cm, No. 8



Entry 3:
First-principles (PBEsol) data for an optimized crystal structure of YTaTl, as listed in Alexandria.

```
YTaTl
1.0
-1.639 1.966 5.254
1.639 -1.966 5.254
1.639 1.966 -5.254
Y Ta Tl
1 1 1
direct
0.000 0.000 0.000
0.325 0.325 0.000
0.684 0.684 0.000
```

Output
energy above the most stable polymorph in this dataset: 0.042 eV per atom
formation enthalpy at 0 K: 0.237 eV per atom
total moment: 0.0 Bohr magnetons per cell
symmetry: Imm2, No. 44



Entry 4:
First-principles (PBEsol) data for an optimized crystal structure of CuP2Ru, as listed in Alexandria.

```
CuP2Ru
1.0
2.859 0.000 0.000
0.000 2.859 0.000
0.000 0.000 6.274
Cu P Ru
1 2 1
direct
0.000 0.000 0.000
0.500 0.500 0.262
0.500 0.500 0.738
0.000 0.000 0.500
```

Output
energy above the most stable polymorph in this dataset: 0.085 eV per atom
formation enthalpy at 0 K: -0.012 eV per atom
total moment: 0.0 Bohr magnetons per cell
symmetry: P4/mmm, No. 123



Entry 5:
First-principles (PBEsol) data for an optimized crystal structure of Si2TcTe, as listed in Alexandria.

```
Si2TcTe
1.0
0.000 3.189 3.189
3.189 0.000 3.189
3.189 3.189 0.000
Si Tc Te
2 1 1
direct
0.000 0.000 0.000
0.250 0.250 0.250
0.500 0.500 0.500
0.750 0.750 0.750
```

Output
total moment: 0.0 Bohr magnetons per cell
ΔE_f (raw): 0.439 eV/atom
symmetry: F-43m, No. 216



Entry 6:
First-principles (PBEsol) data for an optimized crystal structure of YZnMo2F, as listed in Alexandria.

```
YZnMo2F
1.0
4.825 0.000 0.000
0.000 4.825 0.000
0.000 0.000 4.027
Y Zn Mo F
1 1 2 1
direct
0.000 0.000 0.000
0.500 0.500 0.500
0.000 0.500 0.500
0.500 0.000 0.500
0.500 0.500 0.000
```

Output
total moment: 0.0 Bohr magnetons per cell
ΔE_f (raw): 0.932 eV/atom
symmetry: P4/mmm, No. 123



Entry 7:
First-principles (PBEsol) data for an optimized crystal structure of CrReIr2, as listed in Alexandria.

```
CrReIr2
1.0
-1.889 1.889 3.790
1.889 -1.889 3.790
1.889 1.889 -3.790
Cr Re Ir
1 1 2
direct
0.000 0.000 0.000
0.500 0.500 0.000
0.250 0.750 0.500
0.750 0.250 0.500
```

Output
energy above the most stable polymorph in this dataset: 0.087 eV per atom
formation enthalpy at 0 K: -0.178 eV per atom
total moment: 0.6 Bohr magnetons per cell
symmetry: I4/mmm, No. 139



Entry 8:
First-principles (PBEsol) data for an optimized crystal structure of SrZn2RhBr, as listed in Alexandria.

```
SrZn2RhBr
1.0
5.800 0.000 0.000
0.000 5.800 0.000
0.000 0.000 4.866
Sr Zn Rh Br
1 2 1 1
direct
0.000 0.000 0.000
0.000 0.500 0.000
0.500 0.000 0.000
0.000 0.000 0.500
0.500 0.500 0.500
```

Output
total moment: 0.2 Bohr magnetons per cell
ΔE_f (raw): 1.026 eV/atom
symmetry: P4/mmm, No. 123



Entry 9:
First-principles (PBEsol) data for an optimized crystal structure of Na2SnH2, as listed in Alexandria.

```
Na2SnH2
1.0
7.716 0.000 0.000
0.000 7.716 0.000
0.000 0.000 2.932
Na Sn H
4 2 4
direct
0.129 0.371 0.000
0.371 0.871 0.000
0.629 0.129 0.000
0.871 0.629 0.000
0.000 0.000 0.000
0.500 0.500 0.000
0.132 0.632 0.500
0.368 0.132 0.500
0.632 0.868 0.500
0.868 0.368 0.500
```

Output
energy above the most stable polymorph in this dataset: 0.201 eV per atom
total moment: 0.0 Bohr magnetons per cell
symmetry: P4/mbm, No. 127



Entry 10:
First-principles (PBEsol) data for an optimized crystal structure of CdInHg2, as listed in Alexandria.

```
CdInHg2
1.0
-4.035 4.035 3.015
4.035 -4.035 3.015
4.035 4.035 -3.015
Cd In Hg
2 2 4
direct
0.000 0.000 0.000
0.750 0.250 0.500
0.250 0.750 0.500
0.500 0.500 0.000
0.120 0.625 0.995
0.375 0.370 0.495
0.630 0.125 0.005
0.875 0.880 0.505
```

Output
formation enthalpy at 0 K: 0.025 eV per atom
total moment: 0.0 Bohr magnetons per cell
symmetry: I-42d, No. 122



Entry 11:
First-principles (PBEsol) data for an optimized crystal structure of Mg2ReIr, as listed in Alexandria.

```
Mg2ReIr
1.0
2.887 0.000 0.000
0.000 4.565 0.000
0.000 0.000 4.655
Mg Re Ir
2 1 1
direct
0.000 0.000 0.000
0.500 0.000 0.500
0.000 0.500 0.500
0.500 0.500 0.000
```

Output
energy above the most stable polymorph in this dataset: 0.099 eV per atom
formation enthalpy at 0 K: 0.173 eV per atom
total moment: 0.0 Bohr magnetons per cell
symmetry: Pmmm, No. 47



Entry 12:
First-principles (PBEsol) data for an optimized crystal structure of IrPt3, as listed in Alexandria.

```
IrPt3
1.0
4.537 -1.385 0.000
4.537 1.385 0.000
-0.843 0.000 4.696
Ir Pt
1 3
direct
0.000 0.000 0.000
0.253 0.253 0.754
0.500 0.500 0.500
0.747 0.747 0.246
```

Output
formation enthalpy at 0 K: 0.058 eV per atom
total moment: 0.0 Bohr magnetons per cell
symmetry: C2/m, No. 12



Entry 13:
First-principles (PBEsol) data for an optimized crystal structure of CdAu, as listed in Alexandria.

```
CdAu
1.0
5.155 -1.593 0.000
5.155 1.593 0.000
-2.292 0.000 6.704
Cd Au
3 3
direct
0.000 0.000 0.000
0.031 0.031 0.591
0.341 0.341 0.251
0.324 0.324 0.663
0.636 0.636 0.339
0.710 0.710 0.912
```

Output
formation enthalpy at 0 K: -0.148 eV per atom
total moment: 0.0 Bohr magnetons per cell
symmetry: Cm, No. 8



Entry 14:
First-principles (PBEsol) data for an optimized crystal structure of KSb5, as listed in Alexandria.

```
KSb5
1.0
0.000 4.431 4.431
4.431 0.000 4.431
4.431 4.431 0.000
K Sb
1 5
direct
0.000 0.000 0.000
0.132 0.623 0.623
0.250 0.250 0.250
0.623 0.132 0.623
0.623 0.623 0.132
0.623 0.623 0.623
```

Output
total moment: 0.0 Bohr magnetons per cell
ΔE_f (raw): 0.075 eV/atom
symmetry: F-43m, No. 216



Entry 15:
First-principles (PBEsol) data for an optimized crystal structure of AlSiSe2, as listed in Alexandria.

```
AlSiSe2
1.0
1.781 1.028 7.697
-1.781 1.028 7.697
0.000 -2.057 7.697
Al Si Se
1 1 2
direct
0.000 0.000 0.000
0.249 0.249 0.249
0.523 0.523 0.523
0.722 0.722 0.722
```

Output
energy above the most stable polymorph in this dataset: 0.000 eV per atom
total moment: 0.0 Bohr magnetons per cell
ΔE_f (raw): -0.381 eV/atom
symmetry: R3m, No. 160



Entry 16:
First-principles (PBEsol) data for an optimized crystal structure of MnNiO2F, as listed in Alexandria.

```
MnNiO2F
1.0
3.453 0.000 0.000
0.000 3.453 0.000
0.000 0.000 5.030
Mn Ni O F
1 1 2 1
direct
0.000 0.000 0.000
0.000 0.000 0.500
0.000 0.500 0.500
0.500 0.000 0.500
0.500 0.500 0.000
```

Output
total moment: 6.4 Bohr magnetons per cell
ΔE_f (raw): -0.529 eV/atom
symmetry: P4/mmm, No. 123



Entry 17:
First-principles (PBEsol) data for an optimized crystal structure of ZrScMo3, as listed in Alexandria.

```
ZrScMo3
1.0
4.567 0.000 0.000
0.000 4.567 0.000
0.000 0.000 4.567
Zr Sc Mo
1 1 3
direct
0.000 0.000 0.000
0.500 0.500 0.500
0.000 0.500 0.500
0.500 0.000 0.500
0.500 0.500 0.000
```

Output
formation enthalpy at 0 K: 1.599 eV per atom
total moment: 0.0 Bohr magnetons per cell
symmetry: Pm-3m, No. 221



Entry 18:
First-principles (PBEsol) data for an optimized crystal structure of Al2CdAs, as listed in Alexandria.

```
Al2CdAs
1.0
0.000 3.349 3.349
3.349 0.000 3.349
3.349 3.349 0.000
Al Cd As
2 1 1
direct
0.250 0.250 0.250
0.750 0.750 0.750
0.000 0.000 0.000
0.500 0.500 0.500
```

Output
energy above the most stable polymorph in this dataset: 0.091 eV per atom
formation enthalpy at 0 K: 0.207 eV per atom
total moment: 0.0 Bohr magnetons per cell
symmetry: Fm-3m, No. 225



Entry 19:
First-principles (PBEsol) data for an optimized crystal structure of LiZn2Tc, as listed in Alexandria.

```
LiZn2Tc
1.0
2.826 -3.572 0.000
2.826 3.572 0.000
0.000 0.000 2.663
Li Zn Tc
1 2 1
direct
0.000 0.000 0.000
0.000 0.500 0.500
0.500 0.000 0.500
0.500 0.500 0.000
```

Output
energy above the most stable polymorph in this dataset: 0.000 eV per atom
formation enthalpy at 0 K: -0.073 eV per atom
total moment: 0.0 Bohr magnetons per cell
symmetry: Cmmm, No. 65



Entry 20:
First-principles (PBEsol) data for an optimized crystal structure of MgSb2IrC, as listed in Alexandria.

```
MgSb2IrC
1.0
4.601 0.000 0.000
0.000 4.601 0.000
0.000 0.000 4.005
Mg Sb Ir C
1 2 1 1
direct
0.000 0.000 0.000
0.000 0.500 0.500
0.500 0.000 0.500
0.500 0.500 0.000
0.000 0.000 0.500
```

Output
total moment: 0.0 Bohr magnetons per cell
ΔE_f (raw): 0.684 eV/atom
symmetry: P4/mmm, No. 123



Entry 21:
First-principles (PBEsol) data for an optimized crystal structure of Ca2MnNbO6, as listed in Alexandria.

```
Ca2MnNbO6
1.0
5.396 0.000 0.000
0.000 5.552 0.000
-5.377 0.000 7.644
Ca Mn Nb O
4 2 2 12
direct
0.237 0.051 0.249
0.237 0.449 0.749
0.763 0.551 0.251
0.763 0.949 0.751
0.000 0.000 0.500
0.000 0.500 0.000
0.500 0.000 0.000
0.500 0.500 0.500
0.157 0.206 0.954
0.157 0.294 0.454
0.248 0.705 0.953
0.248 0.795 0.453
0.334 0.026 0.746
0.334 0.474 0.246
0.666 0.526 0.754
0.666 0.974 0.254
0.752 0.205 0.547
0.752 0.295 0.047
0.843 0.706 0.546
0.843 0.794 0.046
```

Output
total moment: 7.6 Bohr magnetons per cell
ΔE_f (raw): -2.622 eV/atom
symmetry: P2_1/c, No. 14



Entry 22:
First-principles (PBEsol) data for an optimized crystal structure of Ag2PbBr2, as listed in Alexandria.

```
Ag2PbBr2
1.0
-2.370 2.370 5.538
2.370 -2.370 5.538
2.370 2.370 -5.538
Ag Pb Br
2 1 2
direct
0.117 0.117 0.000
0.883 0.883 0.000
0.500 0.500 0.000
0.250 0.750 0.500
0.750 0.250 0.500
```

Output
total moment: 0.0 Bohr magnetons per cell
ΔE_f (raw): -0.009 eV/atom
symmetry: I4/mmm, No. 139



Entry 23:
First-principles (PBEsol) data for an optimized crystal structure of Li4V3Cr5O16, as listed in Alexandria.

```
Li4V3Cr5O16
1.0
4.943 -2.861 0.000
4.943 2.861 0.000
-0.008 0.000 9.351
Li V Cr O
4 3 5 16
direct
0.000 0.000 0.000
0.003 0.003 0.500
0.338 0.338 0.108
0.672 0.672 0.604
0.180 0.654 0.783
0.654 0.180 0.783
0.828 0.828 0.284
0.174 0.174 0.783
0.336 0.336 0.505
0.344 0.834 0.282
0.668 0.668 0.010
0.834 0.344 0.282
0.001 0.001 0.188
0.001 0.001 0.689
0.046 0.484 0.654
0.163 0.669 0.390
0.167 0.167 0.396
0.334 0.829 0.892
0.336 0.336 0.901
0.484 0.046 0.654
0.484 0.484 0.651
0.524 0.524 0.155
0.527 0.963 0.153
0.669 0.163 0.390
0.672 0.672 0.398
0.829 0.334 0.892
0.834 0.834 0.887
0.963 0.527 0.153
```

Output
total moment: 17.0 Bohr magnetons per cell
ΔE_f (raw): -2.141 eV/atom
symmetry: Cm, No. 8



Entry 24:
First-principles (PBEsol) data for an optimized crystal structure of LiZrRh2, as listed in Alexandria.

```
LiZrRh2
1.0
0.000 3.091 3.091
3.091 0.000 3.091
3.091 3.091 0.000
Li Zr Rh
1 1 2
direct
0.000 0.000 0.000
0.500 0.500 0.500
0.250 0.250 0.250
0.750 0.750 0.750
```

Output
formation enthalpy at 0 K: -0.599 eV per atom
total moment: 0.0 Bohr magnetons per cell
symmetry: Fm-3m, No. 225



Entry 25:
First-principles (PBEsol) data for an optimized crystal structure of LiTaAl, as listed in Alexandria.

```
LiTaAl
1.0
-1.435 1.435 5.618
1.435 -1.435 5.618
1.435 1.435 -5.618
Li Ta Al
1 1 1
direct
0.000 0.000 0.000
0.680 0.680 0.000
0.350 0.350 0.000
```

Output
formation enthalpy at 0 K: 0.052 eV per atom
total moment: 0.0 Bohr magnetons per cell
symmetry: I4mm, No. 107



Entry 26:
First-principles (PBEsol) data for an optimized crystal structure of SbIr2Br, as listed in Alexandria.

```
SbIr2Br
1.0
4.404 0.000 0.000
0.000 4.404 0.000
0.000 0.000 3.539
Sb Ir Br
1 2 1
direct
0.000 0.000 0.000
0.000 0.500 0.500
0.500 0.000 0.500
0.500 0.500 0.000
```

Output
total moment: 0.0 Bohr magnetons per cell
ΔE_f (raw): 0.797 eV/atom
symmetry: P4/mmm, No. 123



Entry 27:
First-principles (PBEsol) data for an optimized crystal structure of Sr2CuSe, as listed in Alexandria.

```
Sr2CuSe
1.0
-1.976 2.032 7.486
1.976 -2.032 7.486
1.976 2.032 -7.486
Sr Cu Se
2 1 1
direct
0.000 0.000 0.000
0.745 0.245 0.500
0.409 0.409 0.000
0.161 0.661 0.500
```

Output
total moment: 0.0 Bohr magnetons per cell
ΔE_f (raw): -0.750 eV/atom
symmetry: Imm2, No. 44